*i*
# MnV2I PBE-GGA optimized geometry
data_MnV2I
_space_group_name_H-M_alt 'F m -3 m'
_space_group_IT_number 225
_space_group_name_Hall '-F 4 2 3'
_cell_length_a 6.279
_cell_length_b 6.279
_cell_length_c 6.279
_cell_angle_alpha 90.00
_cell_angle_beta 90.00
_cell_angle_gamma 90.00
loop_
_atom_site_label
_atom_site_fract_x
_atom_site_fract_y
_atom_site_fract_z
Mn1 0.000 0.000 0.000
V1 0.250 0.250 0.250
I1 0.000 0.000 0.500
# Crystal system: cubic

*ii*
# MnV2I PBE-GGA optimized geometry
data_MnV2I
_space_group_name_H-M_alt 'I -4 2 d'
_space_group_IT_number 122
_space_group_name_Hall 'I -4 2bw'
_cell_length_a 5.559
_cell_length_b 5.559
_cell_length_c 12.257
_cell_angle_alpha 90.00
_cell_angle_beta 90.00
_cell_angle_gamma 90.00
loop_
_atom_site_label
_atom_site_fract_x
_atom_site_fract_y
_atom_site_fract_z
Mn1 0.000 0.000 0.000
V1 0.169 0.250 0.125
I1 0.000 0.000 0.500
# Crystal system: tetragonal

Calculated relative energies: *i* 0.0; *ii* 32.9, given in kJ/mol of atoms

*i*
# MnVI2 PBE-GGA optimized geometry
data_MnVI2
_space_group_name_H-M_alt 'F m -3 m'
_space_group_IT_number 225
_space_group_name_Hall '-F 4 2 3'
_cell_length_a 7.141
_cell_length_b 7.141
_cell_length_c 7.141
_cell_angle_alpha 90.00
_cell_angle_beta 90.00
_cell_angle_gamma 90.00
loop_
_atom_site_label
_atom_site_fract_x
_atom_site_fract_y
_atom_site_fract_z
Mn1 0.000 0.000 0.000
V1 0.000 0.000 0.500
I1 0.250 0.250 0.250
# Crystal system: cubic

*ii*
# MnVI2 PBE-GGA optimized geometry
data_MnVI2
_space_group_name_H-M_alt 'I -4 2 d'
_space_group_IT_number 122
_space_group_name_Hall 'I -4 2bw'
_cell_length_a 6.453
_cell_length_b 6.453
_cell_length_c 12.252
_cell_angle_alpha 90.00
_cell_angle_beta 90.00
_cell_angle_gamma 90.00
loop_
_atom_site_label
_atom_site_fract_x
_atom_site_fract_y
_atom_site_fract_z
Mn1 0.000 0.000 0.000
V1 0.000 0.000 0.500
I1 0.246 0.250 0.125
# Crystal system: tetragonal

Calculated relative energies: *i* 12.5; *ii* 0.0, given in kJ/mol of atoms

*i*
# MnWI2 PBE-GGA optimized geometry
data_MnWI2
_space_group_name_H-M_alt 'I -4 2 d'
_space_group_IT_number 122
_space_group_name_Hall 'I -4 2bw'
_cell_length_a 5.955
_cell_length_b 5.955
_cell_length_c 11.536
_cell_angle_alpha 90.00
_cell_angle_beta 90.00
_cell_angle_gamma 90.00
loop_
_atom_site_label
_atom_site_fract_x
_atom_site_fract_y
_atom_site_fract_z
Mn1 0.000 0.000 0.000
W1 0.000 0.000 0.500
I1 0.229 0.250 0.125
# Crystal system: tetragonal

*ii*
# MnWI2 PBE-GGA optimized geometry
data_MnWI2
_space_group_name_H-M_alt 'F m -3 m'
_space_group_IT_number 225
_space_group_name_Hall '-F 4 2 3'
_cell_length_a 6.664
_cell_length_b 6.664
_cell_length_c 6.664
_cell_angle_alpha 90.00
_cell_angle_beta 90.00
_cell_angle_gamma 90.00
loop_
_atom_site_label
_atom_site_fract_x
_atom_site_fract_y
_atom_site_fract_z
Mn1 0.000 0.000 0.000
W1 0.000 0.000 0.500
I1 0.250 0.250 0.250
# Crystal system: cubic

Calculated relative energies: *i* 6.2; *ii* 0.0, given in kJ/mol of atoms